A plane-wave DFT calculation with GGA+U was carried out for KFeCoF6 after structural relaxation.

extended XYZ file:
```
9
Lattice="-2.4365 2.3849 4.1116 -2.6628 -2.9497 3.6029 4.7984 -0.5131 3.1058" Properties=species:S:1:pos:R:3 pbc="T T T"
Fe 0.7025 -0.4361 4.1210
F 0.8547 0.0103 6.0312
F -1.0585 -1.0971 4.7538
F 1.6283 -2.1718 4.3835
F 0.4315 -1.2219 2.3376
F -0.0551 1.2778 3.5615
F 2.3774 0.4805 3.6980
Co -0.9915 -0.6082 6.6862
K 2.1422 -3.4437 6.7017
```

Values from the calculation:
VASP energy = -4.936 eV per atom